Version P
VASP calculation (PBE) on a geometry-optimized Na2Sb2Pd3 structure.

For the calculated volume, the calculation gives 319 Å³ per cell. The density of states at the Fermi level is 0.313 states/eV per atom.

It has space group C2/m (No. 12), with a = 11.423 Å, b = 4.168 Å, c = 7.295 Å, α = 90.00°, β = 113.38° and γ = 90.00°. The asymmetric unit holds Na at (0.109, 0.000, 0.234), Sb at (0.155, 0.000, 0.703), Pd at (0.000, 0.500, 0.500) and Pd at (0.157, 0.500, 0.922).

Version Q
VASP calculation (PBE) on a geometry-optimized Na2Sb2Pd3 structure.

For the calculated volume, the calculation gives 285 Å³ per cell. The density of states at the Fermi level is 0.340 states/eV per atom.

It has space group P2_1/c (No. 14), with a = 7.309 Å, b = 6.564 Å, c = 6.675 Å, α = 90.00°, β = 117.02° and γ = 90.00°. The asymmetric unit holds Na at (0.229, 0.249, 0.365), Sb at (0.261, 0.750, 0.381), Pd at (0.000, 0.000, 0.000) and Pd at (0.499, 0.512, 0.251).

The structure with the least stability is version Q.

Version P
VASP calculation (PBE) on a geometry-optimized NaSb3Pd structure.

For the calculated volume, the calculation gives 147 Å³ per cell. The density of states at the Fermi level is 0.764 states/eV per atom.

It has space group Pm-3m (No. 221), with a = 5.277 Å, b = 5.277 Å, c = 5.277 Å, α = 90.00°, β = 90.00° and γ = 90.00°. The asymmetric unit holds Na at (0.000, 0.000, 0.000), Sb at (0.000, 0.000, 0.500) and Pd at (0.500, 0.500, 0.500).

Version Q
VASP calculation (PBE) on a geometry-optimized NaSb3Pd structure.

For the calculated volume, the calculation gives 152 Å³ per cell. The density of states at the Fermi level is 1.102 states/eV per atom.

It has space group Pm-3m (No. 221), with a = 5.334 Å, b = 5.334 Å, c = 5.334 Å, α = 90.00°, β = 90.00° and γ = 90.00°. The asymmetric unit holds Na at (0.000, 0.000, 0.000), Sb at (0.000, 0.500, 0.500) and Pd at (0.500, 0.500, 0.500).

Version R
VASP calculation (PBE) on a geometry-optimized NaSb3Pd structure.

For the calculated volume, the calculation gives 261 Å³ per cell. The density of states at the Fermi level is 0.404 states/eV per atom.

It has space group Pmn2_1 (No. 31), with a = 7.002 Å, b = 6.065 Å, c = 6.139 Å, α = 90.00°, β = 90.00° and γ = 90.00°. The asymmetric unit holds Na at (0.000, 0.201, 0.000), Sb at (0.000, 0.888, 0.598), Sb at (0.248, 0.291, 0.481) and Pd at (0.000, 0.576, 0.289).

The structure with the least stability is version P.